# LiScCd2

LiScCd2 after structural relaxation (GGA-PBE, the Alexandria database).

Total magnetization: 0.00 μB/f.u.
DFT formation energy: 74 kJ/mol of formula units
Raw total energy: -2.33 eV per atom

a b c (Å): 6.4947 6.4947 6.4947
angles (deg): 152.99 135.12 53.17
Sites, in units of the cell vectors:
Li: 0.0000 0.0000 0.0000
Sc: 0.5000 0.5000 0.0000
Cd: 0.2161 0.2161 0.0000
Cd: 0.7839 0.7839 0.0000

***

# LiSc2Cd

LiSc2Cd after structural relaxation (GGA-PBE, the Alexandria database).

Total magnetization: 0.11 μB/f.u.
DFT formation energy: -6 kJ/mol of formula units
Raw total energy: -3.89 eV per atom

a b c (Å): 3.0715 4.6599 6.1527
angles (deg): 90.00 99.67 90.00
Sites, in units of the cell vectors:
Li: 0.0000 0.0000 0.0000
Sc: 0.4250 0.5000 0.2495
Sc: 0.5750 0.5000 0.7505
Cd: 0.0000 0.0000 0.5000

***

# Li3ScCd

Li3ScCd after structural relaxation (GGA-PBE, the Alexandria database).

Energy relative to the lowest polymorph listed for this composition: 0.000 eV/atom
Total magnetization: 0.08 μB/f.u.
DFT formation energy: 156 kJ/mol of formula units
Raw total energy: -2.27 eV per atom

a b c (Å): 4.8679 4.8679 4.8679
angles (deg): 90.00 90.00 90.00
Sites, in units of the cell vectors:
Li: 0.0000 0.0000 0.5000
Li: 0.0000 0.5000 0.0000
Li: 0.5000 0.0000 0.0000
Sc: 0.5000 0.5000 0.5000
Cd: 0.0000 0.0000 0.0000

***

# LiScCd2

LiScCd2 after structural relaxation (GGA-PBE, the Alexandria database).

Total magnetization: 0.00 μB/f.u.
DFT formation energy: -64 kJ/mol of formula units
Raw total energy: -2.68 eV per atom

a b c (Å): 5.3074 5.3074 5.2711
angles (deg): 98.65 98.65 35.21
Sites, in units of the cell vectors:
Li: 0.0000 0.0000 0.0000
Sc: 0.2356 0.2356 0.6971
Cd: 0.4903 0.4903 0.4837
Cd: 0.7440 0.7440 0.1935

***

# LiSc3Cd4

LiSc3Cd4 after structural relaxation (GGA-PBE, the Alexandria database).

Total magnetization: 0.00 μB/f.u.
DFT formation energy: -211 kJ/mol of formula units
Raw total energy: -3.34 eV per atom

a b c (Å): 3.4655 3.4655 14.2077
angles (deg): 90.00 90.00 90.00
Sites, in units of the cell vectors:
Li: 0.0000 0.0000 0.0000
Sc: 0.0000 0.0000 0.2445
Sc: 0.0000 0.0000 0.5000
Sc: 0.0000 0.0000 0.7555
Cd: 0.5000 0.5000 0.1133
Cd: 0.5000 0.5000 0.3730
Cd: 0.5000 0.5000 0.6270
Cd: 0.5000 0.5000 0.8867

***

# Li2Sm2ScCd5

Li2Sm2ScCd5 after structural relaxation (GGA-PBE, the Alexandria database).

Total magnetization: 0.00 μB/f.u.
DFT formation energy: -264 kJ/mol of formula units
Raw total energy: -2.69 eV per atom

a b c (Å): 10.6354 10.6354 3.9807
angles (deg): 90.00 90.00 90.00
Sites, in units of the cell vectors:
Li: 0.1169 0.3831 0.0000
Li: 0.3831 0.8831 0.0000
Li: 0.6169 0.1169 0.0000
Li: 0.8831 0.6169 0.0000
Sm: 0.1807 0.6807 0.0000
Sm: 0.3193 0.1807 0.0000
Sm: 0.6807 0.8193 0.0000
Sm: 0.8193 0.3193 0.0000
Sc: 0.0000 0.0000 0.0000
Sc: 0.5000 0.5000 0.0000
Cd: 0.0000 0.5000 0.5000
Cd: 0.0576 0.2076 0.5000
Cd: 0.2076 0.9424 0.5000
Cd: 0.2924 0.4424 0.5000
Cd: 0.4424 0.7076 0.5000
Cd: 0.5000 0.0000 0.5000
Cd: 0.5576 0.2924 0.5000
Cd: 0.7076 0.5576 0.5000
Cd: 0.7924 0.0576 0.5000
Cd: 0.9424 0.7924 0.5000